Entry A
# GGA-PBE BaAg4Sn2, optimized geometry
# Space-group type ... Pnma
# Volume ... 703 Å³ per cell
# D(E_F) ... 12.33 states/eV per cell
data_BaAg4Sn2
_chemical_formula_sum 'Ba4 Ag16 Sn8'
_cell_length_a 4.806
_cell_length_b 7.735
_cell_length_c 18.909
_cell_angle_alpha 90.00
_cell_angle_beta 90.00
_cell_angle_gamma 90.00
_space_group_name_H-M_alt 'P 1'
_space_group_IT_number 1
loop_
_space_group_symop_operation_xyz
'x,y,z'
loop_
_atom_site_label
_atom_site_fract_x
_atom_site_fract_y
_atom_site_fract_z
Ag1 0.250 0.009 0.907
Sn1 0.250 0.538 0.260
Ag2 0.750 0.353 0.320
Ag3 0.250 0.330 0.547
Sn2 0.750 0.279 0.468
Ag4 0.250 0.853 0.180
Sn3 0.750 0.038 0.240
Ag5 0.750 0.670 0.453
Ba1 0.250 0.005 0.380
Ag6 0.750 0.991 0.093
Ag7 0.250 0.215 0.199
Ag8 0.250 0.491 0.407
Ag9 0.750 0.830 0.953
Ag10 0.750 0.509 0.593
Ag11 0.250 0.170 0.047
Ag12 0.750 0.785 0.801
Ag13 0.250 0.285 0.699
Sn4 0.250 0.962 0.760
Sn5 0.750 0.221 0.968
Ag14 0.750 0.147 0.820
Ba2 0.750 0.505 0.120
Sn6 0.250 0.721 0.532
Sn7 0.750 0.462 0.740
Ag15 0.750 0.715 0.301
Ba3 0.750 0.995 0.620
Ag16 0.250 0.647 0.680
Ba4 0.250 0.495 0.880
Sn8 0.250 0.779 0.032

Entry B
# GGA-PBE BaAg4Sn2, optimized geometry
# Space-group type ... I4/mmm
# Volume ... 219 Å³ per cell
# D(E_F) ... 4.12 states/eV per cell
data_BaAg4Sn2
_chemical_formula_sum 'Ba1 Ag4 Sn2'
_cell_length_a 6.677
_cell_length_b 6.677
_cell_length_c 6.677
_cell_angle_alpha 102.94
_cell_angle_beta 102.94
_cell_angle_gamma 123.51
_space_group_name_H-M_alt 'P 1'
_space_group_IT_number 1
loop_
_space_group_symop_operation_xyz
'x,y,z'
loop_
_atom_site_label
_atom_site_fract_x
_atom_site_fract_y
_atom_site_fract_z
Sn1 0.750 0.250 0.500
Sn2 0.250 0.750 0.500
Ag1 0.500 0.271 0.771
Ag2 0.729 0.500 0.229
Ag3 0.500 0.729 0.229
Ba1 0.000 0.000 0.000
Ag4 0.271 0.500 0.771

Bottom line: entry A, by a margin of 248 meV/atom.